Material: Cu2PBr
Method: DFT, SCAN
State: PBEsol geometry

abc: 3.113 3.164 6.506
angles: 90.00 90.00 90.00
Positions (direct):
1 Br 0.500 0.500 0.000
2 Cu 0.000 0.499 0.688
3 Cu 0.000 0.501 0.312
4 P 0.500 0.000 0.500

Output
Fermi-level density of states = 1.50 states/eV/f.u.
energy relative to the lowest polymorph listed for this composition = 147 meV per atom
energy relative to the elements, uncorrected = 0.1883 eV/atom
magnetic moment = 0.000 μB per atom
crystal system = orthorhombic